1.
Compound: CaGe
Source: the Alexandria database
Functional: PBE
Structure: relaxed

Lattice parameters (Å, degrees): 10.6822 10.6822 3.9563 90.00 90.00 90.00
With the nearest neighbours (Å) after each atom.
Element x y z (fractional)
Ca 0.0670 0.7902 0.0000  4 Ge 2.99-3.27, 2 Ca 3.33
Ca 0.2098 0.0670 0.0000  4 Ge 2.99-3.27, 2 Ca 3.33
Ca 0.2664 0.5826 0.5000  6 Ge 3.15-3.36
Ca 0.4174 0.2664 0.5000  6 Ge 3.15-3.36
Ca 0.5826 0.7336 0.5000  6 Ge 3.15-3.36
Ca 0.7336 0.4174 0.5000  6 Ge 3.15-3.36
Ca 0.7902 0.9330 0.0000  4 Ge 2.99-3.27, 2 Ca 3.33
Ca 0.9330 0.2098 0.0000  4 Ge 2.99-3.27, 2 Ca 3.33
Ge 0.0467 0.3860 0.5000  3 Ge 2.59-2.63
Ge 0.2010 0.3580 0.0000  2 Ge 2.59
Ge 0.3580 0.7990 0.0000  2 Ge 2.59
Ge 0.3860 0.9533 0.5000  3 Ge 2.59-2.63
Ge 0.6140 0.0467 0.5000  3 Ge 2.59-2.63
Ge 0.6420 0.2010 0.0000  2 Ge 2.59
Ge 0.7990 0.6420 0.0000  2 Ge 2.59
Ge 0.9533 0.6140 0.5000  3 Ge 2.59-2.63

D(E_F)	0.91	states/eV/f.u.
formation energy	-0.3206	eV/atom

---

2.
Compound: CaGe
Source: the Alexandria database
Functional: PBE
Structure: relaxed

Lattice parameters (Å, degrees): 10.1746 7.7657 7.2119 85.50 49.54 44.96
With the nearest neighbours (Å) after each atom.
Element x y z (fractional)
Ca 0.0078 0.0078 0.7422  6 Ge 3.02-3.14
Ca 0.2578 0.2578 0.9922  6 Ge 3.02-3.14
Ca 0.7422 0.7422 0.0078  6 Ge 3.02-3.14
Ca 0.9922 0.9922 0.2578  6 Ge 3.02-3.14
Ge 0.2864 0.4636 0.2864  1 Ge 2.45
Ge 0.4636 0.2864 0.4636  1 Ge 2.45
Ge 0.5364 0.7136 0.5364  1 Ge 2.45
Ge 0.7136 0.5364 0.7136  1 Ge 2.45

D(E_F)	0.71	states/eV/f.u.
formation energy	-0.4955	eV/atom

---

3.
Compound: Ca3Ge5
Source: the Alexandria database
Functional: PBE
Structure: relaxed

Lattice parameters (Å, degrees): 11.4818 7.7435 9.4742 83.00 42.02 54.98
With the nearest neighbours (Å) after each atom.
Element x y z (fractional)
Ca 0.0000 0.0000 0.0000  10 Ge 3.10-3.33
Ca 0.2500 0.2500 0.2500  10 Ge 3.10-3.33
Ca 0.3282 0.6646 0.3321  10 Ge 3.11-3.41
Ca 0.5750 0.9179 0.5854  10 Ge 3.11-3.41
Ca 0.6646 0.3282 0.6750  10 Ge 3.11-3.41
Ca 0.9179 0.5750 0.9218  10 Ge 3.11-3.41
Ge 0.0679 0.7584 0.2673  3 Ge 2.51-2.55
Ge 0.1849 0.4917 0.9728  2 Ge 2.51-2.55
Ge 0.2772 0.8994 0.0651  2 Ge 2.51-2.55
Ge 0.3436 0.9827 0.4916  3 Ge 2.51-2.55
Ge 0.4917 0.1849 0.3506  2 Ge 2.51-2.55
Ge 0.5579 0.5579 0.4421  2 Ge 2.54
Ge 0.7584 0.0679 0.9064  3 Ge 2.51-2.55
Ge 0.8079 0.8079 0.6921  2 Ge 2.54
Ge 0.8994 0.2772 0.7583  2 Ge 2.51-2.55
Ge 0.9827 0.3436 0.1821  3 Ge 2.51-2.55

D(E_F)	2.49	states/eV/f.u.
formation energy	-0.4788	eV/atom

---

4.
Compound: Ca3Ge
Source: the Alexandria database
Functional: PBE
Structure: relaxed

Lattice parameters (Å, degrees): 5.2700 5.2700 9.8350 90.00 90.00 119.67
With the nearest neighbours (Å) after each atom.
Element x y z (fractional)
Ca 0.0015 0.9985 0.7500  3 Ge 3.04-3.05
Ca 0.3328 0.6672 0.0680  1 Ge 3.13, 3 Ca 3.33
Ca 0.3328 0.6672 0.4320  1 Ge 3.13, 3 Ca 3.33
Ca 0.6672 0.3328 0.5680  1 Ge 3.13, 3 Ca 3.33
Ca 0.6672 0.3328 0.9320  1 Ge 3.13, 3 Ca 3.33
Ca 0.9985 0.0015 0.2500  3 Ge 3.04-3.05
Ge 0.3356 0.6644 0.7500  5 Ca 3.04-3.13
Ge 0.6644 0.3356 0.2500  5 Ca 3.04-3.13

D(E_F)	1.25	states/eV/f.u.
formation energy	-0.3327	eV/atom

---

5.
Compound: Ca3Ge
Source: the Alexandria database
Functional: PBE
Structure: relaxed

Lattice parameters (Å, degrees): 6.3883 6.3883 10.9922 115.81 115.81 41.17
With the nearest neighbours (Å) after each atom.
Element x y z (fractional)
Ca 0.0000 0.0000 0.0000  4 Ge 3.14, 2 Ca 3.40
Ca 0.1362 0.1362 0.3488  2 Ge 3.06, 1 Ca 3.40
Ca 0.2171 0.2171 0.8380  2 Ge 3.04
Ca 0.5000 0.5000 0.5000  2 Ge 3.36, 4 Ca 3.60
Ca 0.7829 0.7829 0.1620  2 Ge 3.04
Ca 0.8638 0.8638 0.6512  2 Ge 3.06, 1 Ca 3.40
Ge 0.4597 0.4597 0.1760  7 Ca 3.04-3.36
Ge 0.5403 0.5403 0.8240  7 Ca 3.04-3.36

D(E_F)	3.05	states/eV/f.u.
formation energy	-0.3549	eV/atom

---

6.
Compound: CaGe
Source: the Alexandria database
Functional: PBE
Structure: relaxed

Lattice parameters (Å, degrees): 5.2550 5.2550 5.9726 90.00 90.00 120.00
With the nearest neighbours (Å) after each atom.
Element x y z (fractional)
Ca 0.3333 0.6667 0.2500  5 Ge 2.99-3.03
Ca 0.6667 0.3333 0.7500  5 Ge 2.99-3.03
Ge 0.3333 0.6667 0.7500  5 Ca 2.99-3.03
Ge 0.6667 0.3333 0.2500  5 Ca 2.99-3.03

D(E_F)	2.79	states/eV/f.u.
formation energy	0.0884	eV/atom

---

7.
Compound: Ca2Ge
Source: the Alexandria database
Functional: PBE
Structure: relaxed

Lattice parameters (Å, degrees): 7.6584 4.8588 9.0858 90.00 90.00 90.00
With the nearest neighbours (Å) after each atom.
Element x y z (fractional)
Ca 0.0195 0.2500 0.1777  3 Ge 3.12-3.27
Ca 0.1540 0.2500 0.5744  4 Ge 3.01-3.09
Ca 0.3460 0.7500 0.0744  4 Ge 3.01-3.09
Ca 0.4805 0.7500 0.6777  3 Ge 3.12-3.27
Ca 0.5195 0.2500 0.3223  3 Ge 3.12-3.27
Ca 0.6540 0.2500 0.9256  4 Ge 3.01-3.09
Ca 0.8460 0.7500 0.4256  4 Ge 3.01-3.09
Ca 0.9805 0.7500 0.8223  3 Ge 3.12-3.27
Ge 0.2481 0.7500 0.3953  7 Ca 3.01-3.27
Ge 0.2519 0.2500 0.8953  7 Ca 3.01-3.27
Ge 0.7481 0.7500 0.1047  7 Ca 3.01-3.27
Ge 0.7519 0.2500 0.6047  7 Ca 3.01-3.27

D(E_F)	0.02	states/eV/f.u.
formation energy	-0.6189	eV/atom

---

8.
Compound: CaGe
Source: the Alexandria database
Functional: PBE
Structure: relaxed

Lattice parameters (Å, degrees): 4.3248 4.3248 4.3248 60.00 60.00 60.00
With the nearest neighbours (Å) after each atom.
Element x y z (fractional)
Ca 0.0000 0.0000 0.0000  6 Ge 3.06
Ge 0.5000 0.5000 0.5000  6 Ca 3.06

D(E_F)	2.81	states/eV/f.u.
formation energy	-0.0960	eV/atom

---

9.
Compound: Ca3Ge
Source: the Alexandria database
Functional: PBE
Structure: relaxed

Lattice parameters (Å, degrees): 7.6639 4.4673 8.0059 90.00 102.72 90.00
With the nearest neighbours (Å) after each atom.
Element x y z (fractional)
Ca 0.0948 0.2500 0.3713  3 Ge 3.05-3.23
Ca 0.2150 0.7500 0.0505  2 Ge 3.05
Ca 0.4028 0.7500 0.6757  2 Ge 3.14
Ca 0.5972 0.2500 0.3243  2 Ge 3.14
Ca 0.7850 0.2500 0.9495  2 Ge 3.05
Ca 0.9052 0.7500 0.6287  3 Ge 3.05-3.23
Ge 0.1614 0.2500 0.7843  7 Ca 3.05-3.23
Ge 0.8386 0.7500 0.2157  7 Ca 3.05-3.23

D(E_F)	1.76	states/eV/f.u.
formation energy	-0.3741	eV/atom

---

10.
Compound: Ca3Ge
Source: the Alexandria database
Functional: PBE
Structure: relaxed

Lattice parameters (Å, degrees): 6.7557 6.7557 9.3110 90.00 90.00 141.71
With the nearest neighbours (Å) after each atom.
Element x y z (fractional)
Ca 0.0748 0.9252 0.7500  2 Ge 3.12
Ca 0.3515 0.6485 0.5638  3 Ge 3.12-3.18, 1 Ca 3.47
Ca 0.3515 0.6485 0.9362  3 Ge 3.12-3.18, 1 Ca 3.47
Ca 0.6485 0.3515 0.0638  3 Ge 3.12-3.18, 1 Ca 3.47
Ca 0.6485 0.3515 0.4362  3 Ge 3.12-3.18, 1 Ca 3.47
Ca 0.9252 0.0748 0.2500  2 Ge 3.12
Ge 0.2533 0.7467 0.2500  8 Ca 3.12-3.18
Ge 0.7467 0.2533 0.7500  8 Ca 3.12-3.18

D(E_F)	2.42	states/eV/f.u.
formation energy	-0.3958	eV/atom

---

11.
Compound: Ca3Ge
Source: the Alexandria database
Functional: PBE
Structure: relaxed

Lattice parameters (Å, degrees): 10.4491 10.4491 5.1473 90.00 90.00 151.56
With the nearest neighbours (Å) after each atom.
Element x y z (fractional)
Ca 0.0000 0.0000 0.0000  4 Ge 3.17, 2 Ca 3.50
Ca 0.1726 0.8274 0.0000  2 Ge 3.05
Ca 0.3246 0.6754 0.5000  2 Ge 3.08
Ca 0.5000 0.5000 0.5000  4 Ge 3.17
Ca 0.6754 0.3246 0.5000  2 Ge 3.08
Ca 0.8274 0.1726 0.0000  2 Ge 3.05
Ge 0.0916 0.9084 0.5000  8 Ca 3.05-3.17
Ge 0.9084 0.0916 0.5000  8 Ca 3.05-3.17

D(E_F)	2.98	states/eV/f.u.
formation energy	-0.3397	eV/atom

---

12.
Compound: CaGe
Source: the Alexandria database
Functional: PBE
Structure: relaxed

Lattice parameters (Å, degrees): 6.1042 6.1042 5.9730 90.00 90.00 90.00
With the nearest neighbours (Å) after each atom.
Element x y z (fractional)
Ca 0.1899 0.1899 0.0000  4 Ge 2.95-3.01, 1 Ca 3.28
Ca 0.3101 0.6899 0.5000  4 Ge 2.95-3.01, 1 Ca 3.28
Ca 0.6899 0.3101 0.5000  4 Ge 2.95-3.01, 1 Ca 3.28
Ca 0.8101 0.8101 0.0000  4 Ge 2.95-3.01, 1 Ca 3.28
Ge 0.1447 0.1447 0.5000  1 Ge 2.50
Ge 0.3553 0.6447 0.0000  1 Ge 2.50
Ge 0.6447 0.3553 0.0000  1 Ge 2.50
Ge 0.8553 0.8553 0.5000  1 Ge 2.50

D(E_F)	1.62	states/eV/f.u.
formation energy	-0.3066	eV/atom

---

| no. | final energy (eV per atom) |
| --- | --- |
| 1 | -3.63 |
| 2 | -3.80 |
| 3 | -4.12 |
| 4 | -2.99 |
| 5 | -3.01 |
| 6 | -3.22 |
| 7 | -3.49 |
| 8 | -3.41 |
| 9 | -3.03 |
| 10 | -3.05 |
| 11 | -3.00 |
| 12 | -3.62 |